(1)
A relaxed structure of Cs2SmFe2O6, computed with PBE+U.

a = 6.3024 Å, b = 6.3024 Å, c = 7.1090 Å
α = 63.69°, β = 63.69°, γ = 60.00°
Last column: magnetic moment on the atom in μB.
Fractional positions:
O 0.2488 0.7337 0.7688  -0.03
O 0.2488 0.2488 0.7688  -0.03
O 0.7512 0.2663 0.2312  -0.03
O 0.7337 0.2488 0.7688  -0.03
O 0.7512 0.7512 0.2312  -0.03
O 0.2663 0.7512 0.2312  -0.03
Cs 0.2208 0.2208 0.3376  0.00
Cs 0.7792 0.7792 0.6624  0.00
Fe 0.5765 0.5765 0.2704  3.56
Fe 0.4235 0.4235 0.7296  3.56
Sm 0.0000 0.0000 0.0000  0.07

Its total energy is -65.5 eV per cell.



(2)
A relaxed structure of CsSmFeO3, computed with PBE+U.

a = 3.7377 Å, b = 8.1023 Å, c = 9.4730 Å
α = 111.57°, β = 90.00°, γ = 90.00°
Last column: magnetic moment on the atom in μB.
Fractional positions:
Sm 0.2500 0.6655 0.1399  0.00
Sm 0.7500 0.3345 0.8601  0.00
Fe 0.7500 0.9540 0.3751  3.73
Fe 0.2500 0.0460 0.6249  3.73
O 0.2500 0.5266 0.8806  0.00
O 0.7500 0.8624 0.1509  0.06
O 0.7500 0.4734 0.1194  0.00
O 0.2500 0.8730 0.4037  0.14
O 0.2500 0.1376 0.8491  0.06
O 0.7500 0.1270 0.5963  0.14
Cs 0.2500 0.2073 0.1926  0.00
Cs 0.7500 0.7927 0.8074  0.00

Its total energy is -77.9 eV per cell.



(3)
A relaxed structure of Cs2SrFeO4, computed with PBE+U.

a = 6.1363 Å, b = 7.2061 Å, c = 12.7358 Å
α = 84.11°, β = 76.06°, γ = 64.80°
Last column: magnetic moment on the atom in μB.
Fractional positions:
O 0.5703 0.1842 0.0595  0.06
O 0.3702 0.8158 0.0595  0.06
O 0.3798 0.6842 0.4405  0.06
O 0.9361 0.6842 0.5595  0.06
O 0.1797 0.3158 0.4405  0.06
O 0.2455 0.1842 0.9405  0.06
O 0.8139 0.8158 0.9405  0.06
O 0.5045 0.3158 0.5595  0.06
Cs 0.1936 0.0000 0.6129  0.01
Cs 0.5564 0.5000 0.8871  0.01
Cs 0.9436 0.5000 0.1129  0.01
Cs 0.8064 0.0000 0.3871  0.01
Sr 0.7500 0.5000 0.5000  0.01
Sr 0.0000 0.0000 0.0000  0.01
Fe 0.5000 0.0000 0.0000  3.61
Fe 0.2500 0.5000 0.5000  3.61

Its total energy is -81.0 eV per cell.



(4)
A relaxed structure of CsTaFe2O8, computed with PBE+U.

a = 5.5274 Å, b = 5.5274 Å, c = 8.4648 Å
α = 90.00°, β = 90.00°, γ = 120.00°
Last column: magnetic moment on the atom in μB.
Fractional positions:
O 0.3333 0.6667 0.9024  -0.15
O 0.0850 0.3233 0.6374  -0.08
O 0.7617 0.0850 0.3626  -0.08
O 0.9150 0.6767 0.3626  -0.08
O 0.2383 0.9150 0.6374  -0.08
O 0.6667 0.3333 0.0976  -0.15
O 0.6767 0.7617 0.6374  -0.08
O 0.3233 0.2383 0.3626  -0.08
Fe 0.3333 0.6667 0.7047  3.32
Fe 0.6667 0.3333 0.2953  3.32
Cs 0.0000 0.0000 0.0000  0.00
Ta 0.0000 0.0000 0.5000  0.15

Its total energy is -79.7 eV per cell.



(5)
A relaxed structure of CsTaFeO4, computed with PBE+U.

a = 5.6060 Å, b = 5.7908 Å, c = 11.5908 Å
α = 90.00°, β = 121.24°, γ = 90.00°
Fractional positions:
O 0.9629 0.4980 0.6099
O 0.5354 0.2500 0.6697
O 0.8435 0.7500 0.1253
O 0.0371 0.5020 0.3901
O 0.1565 0.2500 0.8747
O 0.4646 0.7500 0.3303
O 0.0371 0.9980 0.3901
O 0.9629 0.0020 0.6099
Ta 0.1069 0.7500 0.3046
Ta 0.8931 0.2500 0.6954
Fe 0.8696 0.7500 0.4724
Fe 0.1304 0.2500 0.5276
Cs 0.5090 0.7500 0.8355
Cs 0.4910 0.2500 0.1645

Its total energy is -103.0 eV per cell.



(6)
A relaxed structure of Cs2TbFeO4, computed with PBE+U.

a = 5.7106 Å, b = 7.1078 Å, c = 12.0384 Å
α = 84.53°, β = 76.28°, γ = 66.31°
Last column: magnetic moment on the atom in μB.
Fractional positions:
O 0.8476 0.8296 0.9196  0.15
O 0.2328 0.1704 0.9196  0.15
O 0.4272 0.6704 0.4196  0.15
O 0.3228 0.8296 0.0804  0.15
O 0.5172 0.3296 0.5804  0.15
O 0.9024 0.6704 0.5804  0.15
O 0.5967 0.1704 0.0804  0.15
O 0.1533 0.3296 0.4196  0.15
Cs 0.5688 0.5000 0.8625  0.00
Cs 0.1812 0.0000 0.6375  0.00
Cs 0.8188 0.0000 0.3625  0.00
Cs 0.9312 0.5000 0.1375  0.00
Fe 0.5000 0.0000 0.0000  4.17
Fe 0.2500 0.5000 0.5000  4.17
Tb 0.0000 0.0000 0.0000  0.02
Tb 0.7500 0.5000 0.5000  0.02

Its total energy is -92.7 eV per cell.



(7)
A relaxed structure of Cs4Tb3FeO8, computed with PBE+U.

a = 7.0132 Å, b = 7.9553 Å, c = 7.0130 Å
α = 116.17°, β = 120.00°, γ = 90.00°
Last column: magnetic moment on the atom in μB.
Fractional positions:
O 0.7373 0.6621 0.9498  0.11
O 0.2123 0.6619 0.4246  0.11
O 0.2125 0.6621 0.9498  0.11
O 0.7877 0.3381 0.5754  0.11
O 0.2784 0.3355 0.5569  0.01
O 0.7875 0.3379 0.0502  0.11
O 0.7216 0.6645 0.4431  0.01
O 0.2627 0.3379 0.0502  0.11
Cs 0.0000 0.0000 0.0000  0.00
Cs 0.5000 0.0000 0.0000  0.01
Cs 0.0000 0.0000 0.5000  0.00
Cs 0.5000 0.0000 0.5000  0.00
Tb 0.0000 0.5000 0.5000  0.01
Tb 0.5000 0.5000 0.0000  0.01
Tb 0.5000 0.5000 0.5000  0.01
Fe 0.0000 0.5000 0.0000  4.29

Its total energy is -98.2 eV per cell.



(8)
A relaxed structure of CsTb2Fe2O6, computed with PBE+U.

a = 6.3047 Å, b = 6.8405 Å, c = 6.7860 Å
α = 122.58°, β = 90.03°, γ = 62.53°
Last column: magnetic moment on the atom in μB.
Fractional positions:
O 0.5893 0.3800 0.1165  0.13
O 0.4107 0.6200 0.8835  0.13
O 0.9691 0.6199 0.8834  0.13
O 0.0618 0.8765 0.6049  0.10
O 0.0309 0.3801 0.1166  0.13
O 0.9382 0.1235 0.3951  0.10
Tb 0.1796 0.6408 0.1849  0.06
Tb 0.8204 0.3592 0.8151  0.06
Fe 0.8740 0.2525 0.2093  3.98
Fe 0.1260 0.7475 0.7907  3.98
Cs 0.5000 0.0000 0.5000  0.00

Its total energy is -75.8 eV per cell.